No. 1
The following is a PBE calculation of a relaxed KAsSe4 crystal, from Alexandria via LeMat-Bulk.

Computed properties:
ΔE_f (raw): 1.7 eV per formula unit
Energy: -17.98 eV per cell
Theoretical density: 5.04 g/cm³
SG: No. 216

Unit cell a=5.8524 b=5.8524 c=5.8524 alpha=60.00 beta=60.00 gamma=60.00
Fractional positions:
Se  0.3768  0.3768  0.3768
Se  0.3768  0.3768  0.8695
K  0.0000  0.0000  0.0000
Se  0.8695  0.3768  0.3768
As  0.7500  0.7500  0.7500
Se  0.3768  0.8695  0.3768

No. 2
The following is a PBE calculation of a relaxed MgInHg2 crystal, from Alexandria via LeMat-Bulk.

Computed properties:
Energy: -10.01 eV per cell
ΔH_f (0 K): -0.02 eV/atom
Theoretical density: 8.69 g/cm³
SG: No. 122

Unit cell a=8.1229 b=8.1229 c=6.5418 alpha=51.62 beta=51.62 gamma=90.00
Fractional positions:
In  0.0000  0.0000  0.0000
Hg  0.8750  0.8622  0.7500
Hg  0.3750  0.3878  0.7500
Hg  0.1378  0.6250  0.2500
In  0.7500  0.2500  0.5000
Hg  0.6122  0.1250  0.2500
Mg  0.5000  0.5000  0.0000
Mg  0.2500  0.7500  0.5000

No. 3
The following is a PBE calculation of a relaxed Ta2RuI crystal, from Alexandria via LeMat-Bulk.

Computed properties:
ΔE_f (raw): 4.7 eV per formula unit
Energy: -59.66 eV per cell
Theoretical density: 9.21 g/cm³
SG: No. 122

Unit cell a=5.5326 b=5.5326 c=7.9721 alpha=69.70 beta=69.70 gamma=90.00
Fractional positions:
I  0.7500  0.2500  0.5000
I  0.0000  0.0000  0.0000
Ru  0.2500  0.7500  0.5000
Ru  0.5000  0.5000  0.0000
Ta  0.3750  0.4407  0.7500
Ta  0.1907  0.6250  0.2500
Ta  0.8750  0.8093  0.7500
Ta  0.5593  0.1250  0.2500